A plane-wave DFT calculation with PBE was carried out for a relaxed structure of Al2SbOs.

Properties
**E_form (uncorrected)**: 91 kJ/mol of formula units
**N(E_F)**: 0.655 states/eV per atom

abc: 4.9837 4.9837 4.9837
angles: 132.26 132.26 69.81
With the nearest neighbours (Å) after each atom.
Element x y z (fractional)
1 Al 0.2500 0.7500 0.5000  4 Al 2.85, 4 Os 2.87, 4 Sb 2.87
2 Al 0.7500 0.2500 0.5000  4 Al 2.85, 4 Os 2.87, 4 Sb 2.87
3 Sb 0.0000 0.0000 0.0000  4 Os 2.85, 8 Al 2.87
4 Os 0.5000 0.5000 0.0000  4 Sb 2.85, 8 Al 2.87

=====

A plane-wave DFT calculation with PBE was carried out for a relaxed structure of Mn2Pd3Au4.

Properties
**Formation enthalpy at 0 K**: -1.500 eV per formula unit
**N(E_F)**: 0.350 states/eV per atom

abc: 6.4579 6.4579 6.3485
angles: 107.81 107.81 36.09
With the nearest neighbours (Å) after each atom.
Element x y z (fractional)
1 Mn 0.1582 0.1582 0.4955  5 Pd 2.74-2.84, 5 Au 2.76-2.83, 2 Mn 3.00
2 Mn 0.8418 0.8418 0.5045  5 Pd 2.74-2.84, 5 Au 2.76-2.83, 2 Mn 3.00
3 Pd 0.3820 0.3820 0.8141  3 Mn 2.74-2.84, 7 Au 2.81-3.01, 1 Pd 2.82
4 Pd 0.5000 0.5000 0.5000  4 Mn 2.80, 6 Au 2.81-2.83, 2 Pd 2.82
5 Pd 0.6180 0.6180 0.1859  3 Mn 2.74-2.84, 7 Au 2.81-3.01, 1 Pd 2.82
6 Au 0.0541 0.0541 0.8322  2 Mn 2.76-2.82, 6 Pd 2.83-2.92, 4 Au 2.85-2.94
7 Au 0.2788 0.2788 0.1841  3 Mn 2.78-2.83, 4 Pd 2.81-3.01, 5 Au 2.89-2.98
8 Au 0.7212 0.7212 0.8159  3 Mn 2.78-2.83, 4 Pd 2.81-3.01, 5 Au 2.89-2.98
9 Au 0.9459 0.9459 0.1678  2 Mn 2.76-2.82, 6 Pd 2.83-2.92, 4 Au 2.85-2.94

=====

A plane-wave DFT calculation with PBE was carried out for a relaxed structure of La2PmNd2.

Properties
**Formation enthalpy at 0 K**: 0.616 eV per formula unit
**N(E_F)**: 1.650 states/eV per atom

abc: 3.5409 6.3203 8.9480
angles: 103.60 101.33 106.17
With the nearest neighbours (Å) after each atom.
Element x y z (fractional)
1 La 0.1963 0.3035 0.0918  1 Pm 3.41, 5 La 3.54-3.72, 5 Nd 3.71-3.77
2 La 0.8037 0.6965 0.9082  1 Pm 3.41, 5 La 3.54-3.72, 5 Nd 3.71-3.77
3 Pm 0.5000 0.5000 0.5000  2 La 3.41, 2 Pm 3.54, 6 Nd 3.62-3.73
4 Nd 0.3755 0.0556 0.6970  4 Nd 3.54-3.76, 3 Pm 3.62-3.73, 5 La 3.71-3.77
5 Nd 0.6245 0.9444 0.3030  4 Nd 3.54-3.76, 3 Pm 3.62-3.73, 5 La 3.71-3.77

=====

In μB per formula unit, the magnetization values for the records above are, in order, 0.00 8.95 0.00.